Record 1
First-principles (PBE) data for a geometry-optimized Al4CuNi structure, as listed in Alexandria.

Structure (CIF):
```
data_Al4CuNi
_chemical_formula_sum 'Al16 Cu4 Ni4'
_symmetry_space_group_name_H-M 'C m c m'
_symmetry_Int_Tables_number 63
_symmetry_space_group_name_Hall '-C 2c 2'
_cell_length_a 2.789
_cell_length_b 18.747
_cell_length_c 6.618
_cell_angle_alpha 90.00
_cell_angle_beta 90.00
_cell_angle_gamma 90.00
loop_
_atom_site_label
_atom_site_type_symbol
_atom_site_fract_x
_atom_site_fract_y
_atom_site_fract_z
_atom_site_occupancy
Al1 Al 0.000 0.000 0.000 1
Al2 Al 0.000 0.165 0.048 1
Al3 Al 0.000 0.411 0.250 1
Cu1 Cu 0.000 0.281 0.250 1
Ni1 Ni 0.000 0.430 0.750 1
```



Record 2
First-principles (PBE) data for a geometry-optimized Al2CuNi structure, as listed in Alexandria.

Structure (CIF):
```
data_Al2CuNi
_chemical_formula_sum 'Al4 Cu2 Ni2'
_symmetry_space_group_name_H-M 'P 63/m m c'
_symmetry_Int_Tables_number 194
_symmetry_space_group_name_Hall '-P 6c 2c'
_cell_length_a 4.1053
_cell_length_b 4.1053
_cell_length_c 7.6491
_cell_angle_alpha 90.00
_cell_angle_beta 90.00
_cell_angle_gamma 120.00
loop_
_atom_site_label
_atom_site_type_symbol
_atom_site_fract_x
_atom_site_fract_y
_atom_site_fract_z
_atom_site_occupancy
Al1 Al 0.3333 0.6667 0.0842 1
Cu1 Cu 0.3333 0.6667 0.7500 1
Ni1 Ni 0.0000 0.0000 0.2500 1
```



Record 3
First-principles (PBE) data for a geometry-optimized Al3Cu2Ni structure, as listed in Alexandria.

Structure (CIF):
```
data_Al3Cu2Ni
_chemical_formula_sum 'Al3 Cu2 Ni1'
_symmetry_space_group_name_H-M 'P 6/m m m'
_symmetry_Int_Tables_number 191
_symmetry_space_group_name_Hall '-P 6 2'
_cell_length_a 5.0552
_cell_length_b 5.0552
_cell_length_c 4.0207
_cell_angle_alpha 90.00
_cell_angle_beta 90.00
_cell_angle_gamma 120.00
loop_
_atom_site_label
_atom_site_type_symbol
_atom_site_fract_x
_atom_site_fract_y
_atom_site_fract_z
_atom_site_occupancy
Al1 Al 0.0000 0.5000 0.0000 1
Cu1 Cu 0.3333 0.6667 0.5000 1
Ni1 Ni 0.0000 0.0000 0.5000 1
```



Record 4
First-principles (PBE) data for a geometry-optimized AlCu5Ni2 structure, as listed in Alexandria.

Structure (CIF):
```
data_AlCu5Ni2
_chemical_formula_sum 'Al2 Cu10 Ni4'
_symmetry_space_group_name_H-M 'P b a m'
_symmetry_Int_Tables_number 55
_symmetry_space_group_name_Hall '-P 2 2ab'
_cell_length_a 5.121
_cell_length_b 10.228
_cell_length_c 3.603
_cell_angle_alpha 90.00
_cell_angle_beta 90.00
_cell_angle_gamma 90.00
loop_
_atom_site_label
_atom_site_type_symbol
_atom_site_fract_x
_atom_site_fract_y
_atom_site_fract_z
_atom_site_occupancy
Al1 Al 0.000 0.000 0.000 1
Cu1 Cu 0.000 0.500 0.000 1
Cu2 Cu 0.017 0.251 0.000 1
Cu3 Cu 0.234 0.628 0.500 1
Ni1 Ni 0.234 0.879 0.500 1
```



Record 5
First-principles (PBE) data for a geometry-optimized AlCuNi2 structure, as listed in Alexandria.

Structure (CIF):
```
data_AlCuNi2
_chemical_formula_sum 'Al1 Cu1 Ni2'
_symmetry_space_group_name_H-M 'P 1 2/m 1'
_symmetry_Int_Tables_number 10
_symmetry_space_group_name_Hall '-P 2y'
_cell_length_a 2.714
_cell_length_b 3.239
_cell_length_c 5.308
_cell_angle_alpha 90.00
_cell_angle_beta 90.11
_cell_angle_gamma 90.00
loop_
_atom_site_label
_atom_site_type_symbol
_atom_site_fract_x
_atom_site_fract_y
_atom_site_fract_z
_atom_site_occupancy
Al1 Al 0.000 0.000 0.000 1
Cu1 Cu 0.000 0.000 0.500 1
Ni1 Ni 0.500 0.500 0.249 1
```



Record 6
First-principles (PBE) data for a geometry-optimized AlCuNi2 structure, as listed in Alexandria.

Structure (CIF):
```
data_AlCuNi2
_chemical_formula_sum 'Al9 Cu9 Ni18'
_symmetry_space_group_name_H-M 'R -3 m'
_symmetry_Int_Tables_number 166
_symmetry_space_group_name_Hall '-R 3 2"'
_cell_length_a 4.7284
_cell_length_b 4.7284
_cell_length_c 23.4013
_cell_angle_alpha 90.00
_cell_angle_beta 90.00
_cell_angle_gamma 120.00
loop_
_atom_site_label
_atom_site_type_symbol
_atom_site_fract_x
_atom_site_fract_y
_atom_site_fract_z
_atom_site_occupancy
Al1 Al 0.0000 0.0000 0.0000 1
Al2 Al 0.0000 0.0000 0.1407 1
Cu1 Cu 0.0000 0.0000 0.3348 1
Cu2 Cu 0.0000 0.0000 0.5000 1
Ni1 Ni 0.0072 0.5036 0.9127 1
```



Record 7
First-principles (PBE) data for a geometry-optimized Al2Cu2Ni structure, as listed in Alexandria.

Structure (CIF):
```
data_Al2Cu2Ni
_chemical_formula_sum 'Al8 Cu8 Ni4'
_symmetry_space_group_name_H-M 'C 1 2/c 1'
_symmetry_Int_Tables_number 15
_symmetry_space_group_name_Hall '-C 2yc'
_cell_length_a 8.571
_cell_length_b 4.684
_cell_length_c 6.972
_cell_angle_alpha 90.00
_cell_angle_beta 115.87
_cell_angle_gamma 90.00
loop_
_atom_site_label
_atom_site_type_symbol
_atom_site_fract_x
_atom_site_fract_y
_atom_site_fract_z
_atom_site_occupancy
Al1 Al 0.189 0.142 0.141 1
Cu1 Cu 0.102 0.351 0.454 1
Ni1 Ni 0.000 0.159 0.750 1
```



Record 8
First-principles (PBE) data for a geometry-optimized Al3Cu3Ni2 structure, as listed in Alexandria.

Structure (CIF):
```
data_Al3Cu3Ni2
_chemical_formula_sum 'Al3 Cu3 Ni2'
_symmetry_space_group_name_H-M 'P -6 2 m'
_symmetry_Int_Tables_number 189
_symmetry_space_group_name_Hall 'P -6 -2'
_cell_length_a 6.5994
_cell_length_b 6.5994
_cell_length_c 2.6938
_cell_angle_alpha 90.00
_cell_angle_beta 90.00
_cell_angle_gamma 120.00
loop_
_atom_site_label
_atom_site_type_symbol
_atom_site_fract_x
_atom_site_fract_y
_atom_site_fract_z
_atom_site_occupancy
Al1 Al 0.0000 0.3992 0.0000 1
Cu1 Cu 0.0000 0.7720 0.5000 1
Ni1 Ni 0.3333 0.6667 0.5000 1
```



Number 1: E_form -0.178 eV per atom, total moment 0.000 μB per formula unit. Number 2: E_form -0.100 eV per atom, total moment 0.000 μB per formula unit. Number 3: E_form 0.181 eV per atom, total moment 0.000 μB per formula unit. Number 4: E_form -0.159 eV per atom, total moment 0.000 μB per formula unit. Number 5: E_form -0.358 eV per atom, total moment 0.000 μB per formula unit. Number 6: E_form -0.094 eV per atom, total moment 0.000 μB per formula unit. Number 7: E_form -0.328 eV per atom, total moment 0.000 μB per formula unit. Number 8: E_form -0.352 eV per atom, total moment 0.000 μB per formula unit.